1.
Density functional theory data (GGA-PBE) for a relaxed BaScI2 crystal.

Properties
Density of states at the Fermi level (states/eV/atom): 1.83
Symmetry: I-42d, No. 122

Cell: 6.028 6.028 10.659 Å, 73.57 73.57 90.00°
Site moments in Bohr magnetons follow the coordinates.
Sites, in units of the cell vectors:
I 0.565 0.125 0.250  0.02
I 0.185 0.625 0.250  0.02
I 0.375 0.435 0.750  0.01
I 0.875 0.815 0.750  0.02
Sc 0.500 0.500 0.000  1.04
Sc 0.250 0.750 0.500  1.04
Ba 0.000 0.000 0.000  0.18
Ba 0.750 0.250 0.500  0.18

2.
Density functional theory data (GGA-PBE) for a relaxed BaScI2 crystal.

Properties
Density of states at the Fermi level (states/eV/atom): 0.86
Symmetry: R-3m, No. 166

Cell: 4.142 4.142 11.125 Å, 79.27 79.27 60.00°
Sites, in units of the cell vectors:
I 0.111 0.111 0.666
I 0.889 0.889 0.334
Sc 0.500 0.500 0.500
Ba 0.000 0.000 0.000

Order of stability, best first: 2, 1

1.
Density functional theory data (GGA-PBE) for a relaxed BaSc2I crystal.

Properties
Density of states at the Fermi level (states/eV/atom): 1.59
Symmetry: R-3m, No. 166

Cell: 11.487 11.487 11.487 Å, 18.24 18.24 18.24°
Site moments in Bohr magnetons follow the coordinates.
Sites, in units of the cell vectors:
I 0.500 0.500 0.500  0.00
Sc 0.901 0.901 0.901  0.57
Sc 0.099 0.099 0.099  0.57
Ba 0.000 0.000 0.000  0.24

2.
Density functional theory data (GGA-PBE) for a relaxed BaSc2I crystal.

Properties
Density of states at the Fermi level (states/eV/atom): 1.76
Symmetry: I-42d, No. 122

Cell: 9.130 9.130 7.275 Å, 51.13 51.13 90.00°
Sites, in units of the cell vectors:
I 0.500 0.500 0.000
I 0.250 0.750 0.500
Sc 0.554 0.125 0.250
Sc 0.196 0.625 0.250
Sc 0.375 0.446 0.750
Sc 0.875 0.804 0.750
Ba 0.000 0.000 0.000
Ba 0.750 0.250 0.500

3.
Density functional theory data (GGA-PBE) for a relaxed BaSc2I crystal.

Properties
Density of states at the Fermi level (states/eV/atom): 1.34
Symmetry: Fm-3m, No. 225

Cell: 5.493 5.493 5.493 Å, 60.00 60.00 60.00°
Sites, in units of the cell vectors:
I 0.000 0.000 0.000
Sc 0.250 0.250 0.250
Sc 0.750 0.750 0.750
Ba 0.500 0.500 0.500

Order of stability, best first: 2, 1, 3

1.
Density functional theory data (GGA-PBE) for a relaxed BaSeI3 crystal.

Properties
Density of states at the Fermi level (states/eV/atom): 0.23
Symmetry: Pm-3m, No. 221

Cell: 5.930 5.930 5.930 Å, 90.00 90.00 90.00°
Sites, in units of the cell vectors:
I 0.000 0.500 0.000
I 0.000 0.000 0.500
I 0.500 0.000 0.000
Ba 0.500 0.500 0.500
Se 0.000 0.000 0.000

2.
Density functional theory data (GGA-PBE) for a relaxed BaSeI3 crystal.

Properties
Density of states at the Fermi level (states/eV/atom): 1.32
Symmetry: Pm-3m, No. 221

Cell: 6.780 6.780 6.780 Å, 90.00 90.00 90.00°
Site moments in Bohr magnetons follow the coordinates.
Sites, in units of the cell vectors:
I 0.000 0.500 0.000  0.13
I 0.000 0.000 0.500  0.18
I 0.500 0.000 0.000  0.17
Ba 0.000 0.000 0.000  0.00
Se 0.500 0.500 0.500  1.33

Order of stability, best first: 1, 2

1.
Density functional theory data (GGA-PBE) for a relaxed BaSeI crystal.

Properties
Symmetry: C2/m, No. 12

Cell: 4.630 5.447 13.454 Å, 65.68 80.09 64.85°
Sites, in units of the cell vectors:
Ba 0.547 0.730 0.177
Ba 0.453 0.270 0.823
Se 0.877 0.234 0.011
Se 0.123 0.766 0.989
I 0.240 0.196 0.323
I 0.760 0.804 0.677

2.
Density functional theory data (GGA-PBE) for a relaxed BaSeI crystal.

Properties
Density of states at the Fermi level (states/eV/atom): 0.00
Symmetry: C2/m, No. 12

Cell: 4.675 6.322 9.457 Å, 105.65 90.00 111.70°
Sites, in units of the cell vectors:
Ba 0.906 0.812 0.765
Ba 0.094 0.188 0.235
Se 0.413 0.827 0.045
Se 0.587 0.173 0.955
I 0.831 0.661 0.368
I 0.169 0.339 0.632

Order of stability, best first: 2, 1